A plane-wave DFT calculation with GGA-PBE was carried out for Cs3TlFe after structural relaxation.

Cell: 6.2145 6.2145 6.2145 Å, 90.00 90.00 90.00°
Closest atoms and distances in Å follow each position.
Atoms (fractional coordinates):
Cs  0.0000  0.0000  0.5000  2 Fe 3.11
Cs  0.0000  0.5000  0.0000  2 Fe 3.11
Cs  0.5000  0.0000  0.0000  2 Fe 3.11
Tl  0.5000  0.5000  0.5000  12 Cs 4.39
Fe  0.0000  0.0000  0.0000  6 Cs 3.11

Values from the calculation:
Its crystal system is cubic. The value obtained for the total magnetization is 0.478 μB per atom. The formation energy from the elements is 83 kJ/mol of atoms. The calculation puts the calculated total energy at -9.06 eV/cell.